Entry from Alexandria via LeMat-Bulk: PrSm6Dy2Ho after structural relaxation (GGA-PBE).

Output
Space-group type: No. 15
Density of states at the Fermi level in states/eV/f.u.: 14.09
ρ in Mg/m³: 7.6
E_form in eV/atom: 0.1167

Cell lengths 9.6432, 8.9070, 8.9070 Å; angles 117.54, 93.60, 93.60 degrees
With the nearest neighbours (Å) after each atom.
Atoms (fractional coordinates):
1 Sm 0.1847 0.5633 0.0126  3 Sm 3.26-3.63, 1 Dy 3.46, 1 Ho 3.48, 1 Pr 3.61
2 Sm 0.5555 0.7549 0.1195  7 Sm 3.44-3.79, 1 Dy 3.54, 1 Pr 3.71
3 Sm 0.0555 0.1195 0.7549  7 Sm 3.44-3.79, 1 Dy 3.54, 1 Pr 3.71
4 Sm 0.4445 0.2451 0.8805  7 Sm 3.44-3.79, 1 Dy 3.54, 1 Pr 3.71
5 Sm 0.1184 0.7075 0.4892  4 Sm 3.26-3.59, 3 Dy 3.30-3.47, 2 Ho 3.45-3.57
6 Sm 0.3816 0.5108 0.2925  4 Sm 3.26-3.59, 3 Dy 3.30-3.47, 2 Ho 3.45-3.57
7 Sm 0.8153 0.4367 0.9874  3 Sm 3.26-3.63, 1 Dy 3.46, 1 Ho 3.48, 1 Pr 3.61
8 Sm 0.8816 0.2925 0.5108  4 Sm 3.26-3.59, 3 Dy 3.30-3.47, 2 Ho 3.45-3.57
9 Sm 0.3153 0.9874 0.4367  3 Sm 3.26-3.63, 1 Dy 3.46, 1 Ho 3.48, 1 Pr 3.61
10 Sm 0.6847 0.0126 0.5633  3 Sm 3.26-3.63, 1 Dy 3.46, 1 Ho 3.48, 1 Pr 3.61
11 Sm 0.6184 0.4892 0.7075  4 Sm 3.26-3.59, 3 Dy 3.30-3.47, 2 Ho 3.45-3.57
12 Sm 0.9445 0.8805 0.2451  7 Sm 3.44-3.79, 1 Dy 3.54, 1 Pr 3.71
13 Dy 0.9531 0.6970 0.7984  6 Sm 3.30-3.67, 2 Pr 3.43-3.48, 1 Ho 3.54
14 Dy 0.5469 0.2016 0.3030  6 Sm 3.30-3.67, 2 Pr 3.43-3.48, 1 Ho 3.54
15 Dy 0.0469 0.3030 0.2016  6 Sm 3.30-3.67, 2 Pr 3.43-3.48, 1 Ho 3.54
16 Dy 0.4531 0.7984 0.6970  6 Sm 3.30-3.67, 2 Pr 3.43-3.48, 1 Ho 3.54
17 Pr 0.7500 0.0268 0.9732  4 Dy 3.43-3.48, 4 Sm 3.61-3.71
18 Pr 0.2500 0.9732 0.0268  4 Dy 3.43-3.48, 4 Sm 3.61-3.71
19 Ho 0.7500 0.5898 0.4102  6 Sm 3.45-3.57, 2 Dy 3.54
20 Ho 0.2500 0.4102 0.5898  6 Sm 3.45-3.57, 2 Dy 3.54

Entry from Alexandria via LeMat-Bulk: Pr6Sm2DyHo3 after structural relaxation (GGA-PBE).

Output
Space-group type: No. 12
Density of states at the Fermi level in states/eV/f.u.: 13.81
ρ in Mg/m³: 7.4
E_form in eV/atom: 0.0122

Cell lengths 6.3235, 6.3235, 11.9422 Å; angles 95.05, 95.05, 120.01 degrees
With the nearest neighbours (Å) after each atom.
Atoms (fractional coordinates):
1 Sm 0.3333 0.6667 0.0000  6 Pr 3.64, 3 Sm 3.65, 3 Dy 3.65
2 Sm 0.6667 0.3333 0.0000  6 Pr 3.64, 3 Sm 3.65, 3 Dy 3.65
3 Pr 0.5831 0.9159 0.7479  3 Ho 3.60, 1 Dy 3.64, 2 Sm 3.64, 6 Pr 3.65
4 Pr 0.2488 0.2488 0.7476  3 Ho 3.59, 1 Dy 3.64, 2 Sm 3.64, 6 Pr 3.65
5 Pr 0.7512 0.7512 0.2524  3 Ho 3.59, 1 Dy 3.64, 2 Sm 3.64, 6 Pr 3.65
6 Pr 0.4169 0.0841 0.2521  3 Ho 3.60, 1 Dy 3.64, 2 Sm 3.64, 6 Pr 3.65
7 Pr 0.0841 0.4169 0.2521  3 Ho 3.60, 1 Dy 3.64, 2 Sm 3.64, 6 Pr 3.65
8 Pr 0.9159 0.5831 0.7479  3 Ho 3.60, 1 Dy 3.64, 2 Sm 3.64, 6 Pr 3.65
9 Ho 0.1667 0.8333 0.5000  6 Pr 3.59-3.60, 6 Ho 3.65
10 Ho 0.8333 0.1667 0.5000  6 Pr 3.59-3.60, 6 Ho 3.65
11 Ho 0.5000 0.5000 0.5000  6 Pr 3.59-3.60, 6 Ho 3.65
12 Dy 0.0000 0.0000 0.0000  6 Pr 3.64, 6 Sm 3.65

Entry from Alexandria via LeMat-Bulk: Pr2SmDyHo5 after structural relaxation (GGA-PBE).

Output
Space-group type: No. 140
Density of states at the Fermi level in states/eV/f.u.: 10.63
ρ in Mg/m³: 8.0
E_form in eV/atom: 0.2655

Cell lengths 8.6767, 8.6767, 9.9471 Å; angles 115.86, 115.86, 90.00 degrees
With the nearest neighbours (Å) after each atom.
Atoms (fractional coordinates):
1 Pr 0.6180 0.1180 0.0000  1 Pr 2.90, 2 Ho 3.03
2 Pr 0.1180 0.3820 0.0000  1 Pr 2.90, 2 Ho 3.03
3 Pr 0.8820 0.6180 0.0000  1 Pr 2.90, 2 Ho 3.03
4 Pr 0.3820 0.8820 0.0000  1 Pr 2.90, 2 Ho 3.03
5 Ho 0.0720 0.5720 0.7204  1 Pr 3.03, 1 Dy 3.12
6 Ho 0.8516 0.9280 0.2796  1 Pr 3.03, 1 Dy 3.12
7 Ho 0.5000 0.5000 0.0000  4 Pr 3.47, 8 Ho 3.80
8 Ho 0.5720 0.6484 0.7204  1 Pr 3.03, 1 Dy 3.12
9 Ho 0.4280 0.3516 0.2796  1 Pr 3.03, 1 Dy 3.12
10 Ho 0.9280 0.4280 0.2796  1 Pr 3.03, 1 Dy 3.12
11 Ho 0.3516 0.8516 0.2796  1 Pr 3.03, 1 Dy 3.12
12 Ho 0.1484 0.0720 0.7204  1 Pr 3.03, 1 Dy 3.12
13 Ho 0.0000 0.0000 0.0000  4 Pr 3.47, 8 Ho 3.80
14 Ho 0.6484 0.1484 0.7204  1 Pr 3.03, 1 Dy 3.12
15 Dy 0.7500 0.2500 0.5000  4 Ho 3.12
16 Dy 0.2500 0.7500 0.5000  4 Ho 3.12
17 Sm 0.7500 0.7500 0.5000  10 Ho 3.55-3.91
18 Sm 0.2500 0.2500 0.5000  10 Ho 3.55-3.91

Entry from Alexandria via LeMat-Bulk: PrSmDy2Ho5 after structural relaxation (GGA-PBE).

Output
Space-group type: No. 140
Density of states at the Fermi level in states/eV/f.u.: 11.26
ρ in Mg/m³: 8.2
E_form in eV/atom: 0.2799

Cell lengths 8.8963, 8.8963, 9.7146 Å; angles 117.25, 117.25, 90.00 degrees
With the nearest neighbours (Å) after each atom.
Atoms (fractional coordinates):
1 Ho 0.8364 0.9274 0.2638  1 Dy 3.01, 1 Sm 3.11
2 Ho 0.4274 0.3364 0.2638  1 Dy 3.01, 1 Sm 3.11
3 Ho 0.6636 0.1636 0.7362  1 Dy 3.01, 1 Sm 3.11
4 Ho 0.0726 0.5726 0.7362  1 Dy 3.01, 1 Sm 3.11
5 Ho 0.3364 0.8364 0.2638  1 Dy 3.01, 1 Sm 3.11
6 Ho 0.0000 0.0000 0.0000  4 Dy 3.58, 2 Pr 3.70, 8 Ho 3.75
7 Ho 0.5726 0.6636 0.7362  1 Dy 3.01, 1 Sm 3.11
8 Ho 0.9274 0.4274 0.2638  1 Dy 3.01, 1 Sm 3.11
9 Ho 0.5000 0.5000 0.0000  4 Dy 3.58, 2 Pr 3.70, 8 Ho 3.75
10 Ho 0.1636 0.0726 0.7362  1 Dy 3.01, 1 Sm 3.11
11 Sm 0.2500 0.7500 0.5000  4 Ho 3.11
12 Sm 0.7500 0.2500 0.5000  4 Ho 3.11
13 Pr 0.7500 0.7500 0.5000  10 Ho 3.64-3.70
14 Pr 0.2500 0.2500 0.5000  10 Ho 3.64-3.70
15 Dy 0.1136 0.3864 0.0000  1 Dy 2.86, 2 Ho 3.01
16 Dy 0.6136 0.1136 0.0000  1 Dy 2.86, 2 Ho 3.01
17 Dy 0.3864 0.8864 0.0000  1 Dy 2.86, 2 Ho 3.01
18 Dy 0.8864 0.6136 0.0000  1 Dy 2.86, 2 Ho 3.01